Entry from the Alexandria database: an optimized crystal structure of Cs2Tl4Rh (PBE).

Geometry as CIF:
```
data_Cs2Tl4Rh
_cell_length_a 5.362
_cell_length_b 5.362
_cell_length_c 20.104
_cell_angle_alpha 90.00
_cell_angle_beta 90.00
_cell_angle_gamma 90.00
_space_group_name_H-M_alt 'P 1'
_space_group_IT_number 1
loop_
_space_group_symop_operation_xyz
'x,y,z'
loop_
_atom_site_label
_atom_site_type_symbol
_atom_site_fract_x
_atom_site_fract_y
_atom_site_fract_z
Cs1 Cs 0.000 0.000 0.163
Cs2 Cs 0.000 0.000 0.837
Cs3 Cs 0.500 0.500 0.337
Cs4 Cs 0.500 0.500 0.663
Tl1 Tl 0.000 0.000 0.365
Tl2 Tl 0.000 0.000 0.635
Tl3 Tl 0.000 0.500 0.000
Tl4 Tl 0.000 0.500 0.500
Tl5 Tl 0.500 0.000 0.000
Tl6 Tl 0.500 0.000 0.500
Tl7 Tl 0.500 0.500 0.135
Tl8 Tl 0.500 0.500 0.865
Rh1 Rh 0.000 0.000 0.500
Rh2 Rh 0.500 0.500 0.000
```

## Properties
Symmetry: I4/mmm (139)
Size of the total moment: 0.00 μB per formula unit
Theoretical density: 6.82 g/cm³
DFT formation energy: -0.031 eV per atom
Volume: 578 Å³/cell


Entry from the Alexandria database: an optimized crystal structure of Cs3Tl7Rh2 (PBE).

Geometry as CIF:
```
data_Cs3Tl7Rh2
_cell_length_a 14.268
_cell_length_b 14.268
_cell_length_c 5.431
_cell_angle_alpha 90.00
_cell_angle_beta 90.00
_cell_angle_gamma 157.99
_space_group_name_H-M_alt 'P 1'
_space_group_IT_number 1
loop_
_space_group_symop_operation_xyz
'x,y,z'
loop_
_atom_site_label
_atom_site_type_symbol
_atom_site_fract_x
_atom_site_fract_y
_atom_site_fract_z
Cs1 Cs 0.000 0.000 0.000
Cs2 Cs 0.197 0.803 0.000
Cs3 Cs 0.803 0.197 0.000
Tl1 Tl 0.101 0.899 0.500
Tl2 Tl 0.303 0.697 0.500
Tl3 Tl 0.399 0.601 0.000
Tl4 Tl 0.500 0.500 0.500
Tl5 Tl 0.601 0.399 0.000
Tl6 Tl 0.697 0.303 0.500
Tl7 Tl 0.899 0.101 0.500
Rh1 Rh 0.404 0.596 0.500
Rh2 Rh 0.596 0.404 0.500
```

## Properties
Symmetry: Cmmm (65)
Size of the total moment: 0.00 μB per formula unit
Theoretical density: 8.16 g/cm³
DFT formation energy: -0.039 eV per atom
Volume: 414 Å³/cell


Entry from the Alexandria database: an optimized crystal structure of CsTlRh2 (PBE).

Geometry as CIF:
```
data_CsTlRh2
_cell_length_a 7.041
_cell_length_b 7.041
_cell_length_c 7.041
_cell_angle_alpha 90.00
_cell_angle_beta 90.00
_cell_angle_gamma 90.00
_space_group_name_H-M_alt 'P 1'
_space_group_IT_number 1
loop_
_space_group_symop_operation_xyz
'x,y,z'
loop_
_atom_site_label
_atom_site_type_symbol
_atom_site_fract_x
_atom_site_fract_y
_atom_site_fract_z
Cs1 Cs 0.000 0.000 0.000
Cs2 Cs 0.000 0.500 0.500
Cs3 Cs 0.500 0.000 0.500
Cs4 Cs 0.500 0.500 0.000
Tl1 Tl 0.000 0.000 0.500
Tl2 Tl 0.000 0.500 0.000
Tl3 Tl 0.500 0.000 0.000
Tl4 Tl 0.500 0.500 0.500
Rh1 Rh 0.250 0.250 0.250
Rh2 Rh 0.250 0.250 0.750
Rh3 Rh 0.250 0.750 0.250
Rh4 Rh 0.250 0.750 0.750
Rh5 Rh 0.750 0.250 0.250
Rh6 Rh 0.750 0.250 0.750
Rh7 Rh 0.750 0.750 0.250
Rh8 Rh 0.750 0.750 0.750
```

## Properties
Symmetry: Fm-3m (225)
Size of the total moment: 0.00 μB per formula unit
Theoretical density: 10.34 g/cm³
DFT formation energy: 0.813 eV per atom
Volume: 349 Å³/cell


Entry from the Alexandria database: an optimized crystal structure of Cs2TlRh (PBE).

Geometry as CIF:
```
data_Cs2TlRh
_cell_length_a 12.567
_cell_length_b 12.567
_cell_length_c 5.303
_cell_angle_alpha 90.00
_cell_angle_beta 90.00
_cell_angle_gamma 90.00
_space_group_name_H-M_alt 'P 1'
_space_group_IT_number 1
loop_
_space_group_symop_operation_xyz
'x,y,z'
loop_
_atom_site_label
_atom_site_type_symbol
_atom_site_fract_x
_atom_site_fract_y
_atom_site_fract_z
Cs1 Cs 0.084 0.250 0.125
Cs2 Cs 0.250 0.584 0.375
Cs3 Cs 0.250 0.916 0.875
Cs4 Cs 0.416 0.250 0.625
Cs5 Cs 0.584 0.750 0.625
Cs6 Cs 0.750 0.084 0.875
Cs7 Cs 0.750 0.416 0.375
Cs8 Cs 0.916 0.750 0.125
Tl1 Tl 0.000 0.000 0.500
Tl2 Tl 0.000 0.500 0.750
Tl3 Tl 0.500 0.000 0.250
Tl4 Tl 0.500 0.500 0.000
Rh1 Rh 0.000 0.000 0.000
Rh2 Rh 0.000 0.500 0.250
Rh3 Rh 0.500 0.000 0.750
Rh4 Rh 0.500 0.500 0.500
```

## Properties
Symmetry: I-42d (122)
Size of the total moment: 0.00 μB per formula unit
Theoretical density: 4.55 g/cm³
DFT formation energy: 0.230 eV per atom
Volume: 838 Å³/cell


Entry from the Alexandria database: an optimized crystal structure of CsTl2ZnRh (PBE).

Geometry as CIF:
```
data_CsTl2ZnRh
_cell_length_a 5.364
_cell_length_b 5.364
_cell_length_c 5.160
_cell_angle_alpha 90.00
_cell_angle_beta 90.00
_cell_angle_gamma 90.00
_space_group_name_H-M_alt 'P 1'
_space_group_IT_number 1
loop_
_space_group_symop_operation_xyz
'x,y,z'
loop_
_atom_site_label
_atom_site_type_symbol
_atom_site_fract_x
_atom_site_fract_y
_atom_site_fract_z
Cs1 Cs 0.000 0.000 0.000
Tl1 Tl 0.000 0.500 0.500
Tl2 Tl 0.500 0.000 0.500
Zn1 Zn 0.500 0.500 0.000
Rh1 Rh 0.500 0.500 0.500
```

## Properties
Symmetry: P4/mmm (123)
Size of the total moment: 0.00 μB per formula unit
Theoretical density: 7.94 g/cm³
DFT formation energy: -0.086 eV per atom
Volume: 148 Å³/cell


Entry from the Alexandria database: an optimized crystal structure of CsTlZn2Rh (PBE).

Geometry as CIF:
```
data_CsTlZn2Rh
_cell_length_a 5.088
_cell_length_b 5.088
_cell_length_c 5.314
_cell_angle_alpha 90.00
_cell_angle_beta 90.00
_cell_angle_gamma 90.00
_space_group_name_H-M_alt 'P 1'
_space_group_IT_number 1
loop_
_space_group_symop_operation_xyz
'x,y,z'
loop_
_atom_site_label
_atom_site_type_symbol
_atom_site_fract_x
_atom_site_fract_y
_atom_site_fract_z
Cs1 Cs 0.000 0.000 0.000
Tl1 Tl 0.500 0.500 0.000
Zn1 Zn 0.000 0.500 0.500
Zn2 Zn 0.500 0.000 0.500
Rh1 Rh 0.500 0.500 0.500
```

## Properties
Symmetry: P4/mmm (123)
Size of the total moment: 0.00 μB per formula unit
Theoretical density: 6.89 g/cm³
DFT formation energy: -0.091 eV per atom
Volume: 138 Å³/cell


Entry from the Alexandria database: an optimized crystal structure of CsV3Rh (PBE).

Geometry as CIF:
```
data_CsV3Rh
_cell_length_a 4.953
_cell_length_b 4.953
_cell_length_c 4.953
_cell_angle_alpha 90.00
_cell_angle_beta 90.00
_cell_angle_gamma 90.00
_space_group_name_H-M_alt 'P 1'
_space_group_IT_number 1
loop_
_space_group_symop_operation_xyz
'x,y,z'
loop_
_atom_site_label
_atom_site_type_symbol
_atom_site_fract_x
_atom_site_fract_y
_atom_site_fract_z
Cs1 Cs 0.000 0.000 0.000
V1 V 0.000 0.500 0.500
V2 V 0.500 0.000 0.500
V3 V 0.500 0.500 0.000
Rh1 Rh 0.500 0.500 0.500
```

## Properties
Symmetry: Pm-3m (221)
Size of the total moment: 7.63 μB per formula unit
Theoretical density: 5.31 g/cm³
DFT formation energy: 1.171 eV per atom
Distance to the lowest polymorph of the same formula: 0.0 meV/atom
Volume: 121 Å³/cell


Entry from the Alexandria database: an optimized crystal structure of CsV3Rh (PBE).

Geometry as CIF:
```
data_CsV3Rh
_cell_length_a 4.712
_cell_length_b 4.712
_cell_length_c 4.712
_cell_angle_alpha 90.00
_cell_angle_beta 90.00
_cell_angle_gamma 90.00
_space_group_name_H-M_alt 'P 1'
_space_group_IT_number 1
loop_
_space_group_symop_operation_xyz
'x,y,z'
loop_
_atom_site_label
_atom_site_type_symbol
_atom_site_fract_x
_atom_site_fract_y
_atom_site_fract_z
Cs1 Cs 0.000 0.000 0.000
V1 V 0.000 0.000 0.500
V2 V 0.000 0.500 0.000
V3 V 0.500 0.000 0.000
Rh1 Rh 0.500 0.500 0.500
```

## Properties
Symmetry: Pm-3m (221)
Size of the total moment: 3.82 μB per formula unit
Theoretical density: 6.17 g/cm³
DFT formation energy: 2.702 eV per atom
Distance to the lowest polymorph of the same formula: 1530.3 meV/atom
Volume: 105 Å³/cell


Please write out number 7 again, unchanged.
Entry from the Alexandria database: an optimized crystal structure of CsV3Rh (PBE).

Geometry as CIF:
```
data_CsV3Rh
_cell_length_a 4.953
_cell_length_b 4.953
_cell_length_c 4.953
_cell_angle_alpha 90.00
_cell_angle_beta 90.00
_cell_angle_gamma 90.00
_space_group_name_H-M_alt 'P 1'
_space_group_IT_number 1
loop_
_space_group_symop_operation_xyz
'x,y,z'
loop_
_atom_site_label
_atom_site_type_symbol
_atom_site_fract_x
_atom_site_fract_y
_atom_site_fract_z
Cs1 Cs 0.000 0.000 0.000
V1 V 0.000 0.500 0.500
V2 V 0.500 0.000 0.500
V3 V 0.500 0.500 0.000
Rh1 Rh 0.500 0.500 0.500
```

## Properties
Symmetry: Pm-3m (221)
Size of the total moment: 7.63 μB per formula unit
Theoretical density: 5.31 g/cm³
DFT formation energy: 1.171 eV per atom
Distance to the lowest polymorph of the same formula: 0.0 meV/atom
Volume: 121 Å³/cell


DFT formation energy of number 8 (CsV3Rh)? 2.702 eV per atom


Among the records above, which one has the highest size of the total moment? number 7


What is the formula in the first record? Cs2Tl4Rh